1.
BeSiMo2 | GGA-PBEsol | optimized geometry

Polymorph energy (0 for the lowest one): 192 meV/atom
Uncorrected energy: -8.420 eV per atom
M_tot: 0.000 Bohr magnetons per cell
ΔE_f (raw): -0.10 eV per atom

Lattice parameters (Å, degrees): 3.2694 4.0406 7.8099 90.00 90.00 90.00
Space group Imm2 (No. 44)
Asymmetric unit:
Be 0.0000 0.0000 0.0000
Si 0.0000 0.5000 0.2810
Mo 0.0000 0.0000 0.5205
Mo 0.0000 0.5000 0.7539

2.
BeSiMo2 | GGA-PBEsol | optimized geometry

Polymorph energy (0 for the lowest one): 251 meV/atom
Uncorrected energy: -8.361 eV per atom
M_tot: 0.000 Bohr magnetons per cell
ΔE_f (raw): -0.04 eV per atom

Lattice parameters (Å, degrees): 5.9246 5.9246 5.9246 90.00 90.00 90.00
Space group F-43m (No. 216)
Asymmetric unit:
Be 0.0000 0.0000 0.0000
Si 0.2500 0.2500 0.7500
Mo 0.0000 0.0000 0.5000
Mo 0.2500 0.2500 0.2500

3.
BeSi2Mo | GGA-PBEsol | optimized geometry

Polymorph energy (0 for the lowest one): 0 meV/atom
Uncorrected energy: -6.451 eV per atom
M_tot: 0.000 Bohr magnetons per cell
ΔE_f (raw): 0.36 eV per atom

Lattice parameters (Å, degrees): 6.6155 6.6155 4.8076 90.00 90.00 90.00
Space group I-42d (No. 122)
Asymmetric unit:
Be 0.0000 0.0000 0.0000
Si 0.2091 0.2500 0.1250
Mo 0.0000 0.0000 0.5000

4.
Be2SiMo | GGA-PBEsol | optimized geometry

Polymorph energy (0 for the lowest one): 364 meV/atom
Uncorrected energy: -6.379 eV per atom
M_tot: 0.000 Bohr magnetons per cell
ΔE_f (raw): 0.00 eV per atom

Lattice parameters (Å, degrees): 3.0969 3.0969 4.8753 90.00 90.00 90.00
Space group P4mm (No. 99)
Asymmetric unit:
Be 0.0000 0.0000 0.0000
Be 0.5000 0.5000 0.2293
Si 0.5000 0.5000 0.7442
Mo 0.0000 0.0000 0.4955

5.
Be2SiMo | GGA-PBEsol | optimized geometry

Polymorph energy (0 for the lowest one): 625 meV/atom
Uncorrected energy: -6.118 eV per atom
M_tot: 0.000 Bohr magnetons per cell
ΔE_f (raw): 0.26 eV per atom

Lattice parameters (Å, degrees): 2.5279 2.5279 7.3106 90.00 90.00 90.00
Space group P4mm (No. 99)
Asymmetric unit:
Be 0.0000 0.0000 0.0000
Be 0.5000 0.5000 0.1955
Si 0.0000 0.0000 0.4564
Mo 0.5000 0.5000 0.7455

6.
Be2SiMo | GGA-PBEsol | optimized geometry

Polymorph energy (0 for the lowest one): 0 meV/atom
Uncorrected energy: -6.743 eV per atom
M_tot: 0.000 Bohr magnetons per cell
ΔE_f (raw): -0.36 eV per atom

Lattice parameters (Å, degrees): 3.3705 3.3705 7.7206 90.00 90.00 90.00
Space group I-4m2 (No. 119)
Asymmetric unit:
Be 0.0000 0.0000 0.0000
Be 0.0000 0.5000 0.2500
Si 0.0000 0.0000 0.5000
Mo 0.0000 0.5000 0.7500

7.
BeSiMo2 | GGA-PBEsol | optimized geometry

Polymorph energy (0 for the lowest one): 0 meV/atom
Uncorrected energy: -8.612 eV per atom
M_tot: 0.001 Bohr magnetons per cell
ΔE_f (raw): -0.29 eV per atom

Lattice parameters (Å, degrees): 3.4174 3.2545 9.0881 90.00 90.00 90.00
Space group Amm2 (No. 38)
Asymmetric unit:
Be 0.0000 0.0000 0.0000
Si 0.5000 0.0000 0.8528
Mo 0.0000 0.0000 0.2690
Mo 0.5000 0.0000 0.5669

8.
Be2SiMo | GGA-PBEsol | optimized geometry

Polymorph energy (0 for the lowest one): 306 meV/atom
Uncorrected energy: -6.437 eV per atom
M_tot: 0.000 Bohr magnetons per cell
ΔE_f (raw): -0.06 eV per atom

Lattice parameters (Å, degrees): 2.6602 3.8026 4.5488 90.00 90.00 90.00
Space group Pmmm (No. 47)
Asymmetric unit:
Be 0.0000 0.0000 0.2294
Si 0.0000 0.5000 0.5000
Mo 0.5000 0.5000 0.0000

9.
BeSi2Mo | GGA-PBEsol | optimized geometry

Polymorph energy (0 for the lowest one): 8 meV/atom
Uncorrected energy: -6.444 eV per atom
M_tot: 0.000 Bohr magnetons per cell
ΔE_f (raw): 0.37 eV per atom

Lattice parameters (Å, degrees): 5.8346 5.8346 5.8346 90.00 90.00 90.00
Space group F-43m (No. 216)
Asymmetric unit:
Be 0.0000 0.0000 0.0000
Si 0.0000 0.0000 0.5000
Si 0.2500 0.2500 0.2500
Mo 0.2500 0.2500 0.7500

10.
Be2SiMo | GGA-PBEsol | optimized geometry

Polymorph energy (0 for the lowest one): 625 meV/atom
Uncorrected energy: -6.118 eV per atom
M_tot: 0.000 Bohr magnetons per cell
ΔE_f (raw): 0.26 eV per atom

Lattice parameters (Å, degrees): 2.5220 2.5220 7.4751 90.00 90.00 90.00
Space group P4/mmm (No. 123)
Asymmetric unit:
Be 0.0000 0.0000 0.2502
Si 0.5000 0.5000 0.0000
Mo 0.5000 0.5000 0.5000

11.
SrBeMo | GGA-PBEsol | optimized geometry

Polymorph energy (0 for the lowest one): 277 meV/atom
Uncorrected energy: -4.865 eV per atom
ΔH_f (0 K): 1.00 eV/atom
M_tot: 0.000 Bohr magnetons per cell

Lattice parameters (Å, degrees): 3.7018 3.7018 5.3209 90.00 90.00 120.00
Space group P3m1 (No. 156)
Asymmetric unit:
Sr 0.0000 0.0000 0.0000
Be 0.6667 0.3333 0.5983
Mo 0.3333 0.6667 0.4653

12.
SrBeMo2 | GGA-PBEsol | optimized geometry

Uncorrected energy: -6.688 eV per atom
ΔH_f (0 K): 0.66 eV/atom
M_tot: 0.000 Bohr magnetons per cell

Lattice parameters (Å, degrees): 8.1333 3.1602 6.2710 90.00 100.18 90.00
Space group Cm (No. 8)
Asymmetric unit:
Sr 0.0000 0.0000 0.0000
Be 0.2560 0.0000 0.6494
Mo 0.0336 0.5000 0.5255
Mo 0.2937 0.5000 0.3693